No. 1
Here is an optimized crystal structure of LaPrZn6 from OQMD via LeMat-Bulk. Energies are from GGA-PBE.

Lattice parameters (Å, degrees): 4.8379 4.8379 6.8372 90.00 90.00 90.00
With the nearest neighbours (Å) after each atom.
Space group P4/mmm (No. 123)
One atom of each set of equivalent atoms:
1 La 0.0000 0.0000 0.0000  8 Zn 2.97
2 Pr 0.5000 0.5000 0.5000  8 Zn 2.96
3 Zn 0.0000 0.0000 0.5000  8 Zn 2.96
4 Zn 0.0000 0.5000 0.2510  2 Pr 2.96, 4 Zn 2.96-2.97, 2 La 2.97
5 Zn 0.5000 0.5000 0.0000  8 Zn 2.97

---

No. 2
Here is an optimized crystal structure of LaPrZr from OQMD via LeMat-Bulk. Energies are from GGA-PBE.

Lattice parameters (Å, degrees): 7.5435 7.5435 7.5435 90.00 90.00 90.00
With the nearest neighbours (Å) after each atom.
Space group F-43m (No. 216)
One atom of each set of equivalent atoms:
1 La 0.0000 0.0000 0.0000  4 Zr 3.27
2 Pr 0.0000 0.0000 0.5000  4 Zr 3.27
3 Zr 0.2500 0.2500 0.2500  4 La 3.27, 4 Pr 3.27

---

Respective electronic total energy values: -0.0892; -0.1973 hartree per atom.
Respective formation energy from the elements values: -0.268; 0.713 eV/atom.